Entry from Alexandria: LaDyAl4 after structural relaxation (GGA-PBE).

The structure belongs to space group F-43m (No. 216); the cell edges are 8.0122, 8.0122 and 8.0122 Å and the angles 90.00°, 90.00° and 90.00°. The distinct sites, in fractional coordinates, are La at (0.0000, 0.0000, 0.0000), Dy at (0.2500, 0.2500, 0.7500) and Al at (0.1250, 0.1250, 0.3750).

As for the mass density: 5.29 g/cm3. The value obtained for the magnetization is 0.0 μB per formula unit. For the formation energy, the calculation gives -0.484 eV/atom. Its energy is -4.567 eV/atom. Its density of states at the Fermi level is 21.06 states/eV per cell.


Entry from Alexandria: LaDy2Al after structural relaxation (GGA-PBE).

The structure belongs to space group Amm2 (No. 38); the cell edges are 5.3530, 6.9558 and 12.1113 Å and the angles 90.00°, 90.00° and 90.00°. The distinct sites, in fractional coordinates, are La at (0.0000, 0.2277, 0.0000), Dy at (0.0000, 0.0000, 0.2375), Dy at (0.5000, 0.0000, 0.5883), Dy at (0.5000, 0.2370, 0.8245), Al at (0.0000, 0.0000, 0.7445) and Al at (0.5000, 0.0000, 0.0889).

As for the mass density: 7.23 g/cm3. The value obtained for the magnetization is 0.0 μB per formula unit. For the formation energy, the calculation gives -0.178 eV/atom. Its energy is -4.647 eV/atom. Its density of states at the Fermi level is 18.08 states/eV per cell. The energy above the most stable polymorph in this dataset is 0.03 eV per formula unit.


Entry from Alexandria: LaDyAl2 after structural relaxation (GGA-PBE).

The structure belongs to space group P4/mmm (No. 123); the cell edges are 3.7015, 3.7015 and 7.3926 Å and the angles 90.00°, 90.00° and 90.00°. The distinct sites, in fractional coordinates, are La at (0.0000, 0.0000, 0.0000), Dy at (0.0000, 0.0000, 0.5000) and Al at (0.5000, 0.5000, 0.2731).

As for the mass density: 5.83 g/cm3. The value obtained for the magnetization is 0.0 μB per formula unit. For the formation energy, the calculation gives -0.384 eV/atom. Its energy is -4.638 eV/atom. Its density of states at the Fermi level is 1.63 states/eV per cell. The energy above the most stable polymorph in this dataset is 0.00 eV per formula unit.


Entry from Alexandria: LaDy12Al3 after structural relaxation (GGA-PBE).

The structure belongs to space group P4/mmm (No. 123); the cell edges are 4.7969, 4.7969 and 19.7128 Å and the angles 90.00°, 90.00° and 90.00°. The distinct sites, in fractional coordinates, are La at (0.0000, 0.0000, 0.0000), Dy at (0.0000, 0.5000, 0.1384), Dy at (0.0000, 0.5000, 0.3795), Dy at (0.5000, 0.5000, 0.0000), Dy at (0.5000, 0.5000, 0.2601), Dy at (0.5000, 0.5000, 0.5000), Al at (0.0000, 0.0000, 0.2597) and Al at (0.0000, 0.0000, 0.5000).

As for the mass density: 7.94 g/cm3. The value obtained for the magnetization is 0.0 μB per formula unit. For the formation energy, the calculation gives -0.115 eV/atom. Its energy is -4.577 eV/atom. Its density of states at the Fermi level is 18.94 states/eV per cell.